Entry from Alexandria: a relaxed LaNpTe2N crystal (PBE-GGA).

* formation energy without anion corrections: -116 kJ/mol of atoms
* symmetry: P4/nmm, No. 129
* calculated volume: 282 Å³ per cell
* total magnetization: 0.5571 μB per atom

abc: 4.1040 4.1040 16.7572
angles: 90.00 90.00 90.00
Last column: magnetic moment on the atom in μB.
Sites, in units of the cell vectors:
Te 0.5000 0.0000 0.9222  0.00
La 0.0000 0.5000 0.8523  0.00
Np 0.5000 0.0000 0.5614  3.07
Te 0.5000 0.0000 0.3319  -0.10
La 0.5000 0.0000 0.1477  0.00
Np 0.0000 0.5000 0.4386  3.07
N 0.5000 0.5000 0.5000  -0.20
Te 0.0000 0.5000 0.6681  -0.10
Te 0.0000 0.5000 0.0778  0.00
N 0.0000 0.0000 0.5000  -0.20